(1)
# AlSe2Cl (GGA-PBE, optimized geometry)
# N(E_F) ... 2.6 states/eV per cell
# Energy relative to the elements, uncorrected ... -150 meV per atom
# E above lowest polymorph ... 564 meV/atom
# Crystal system ... orthorhombic
# Total magnetization ... 0.00 μB/f.u.
data_AlSe2Cl
_symmetry_space_group_name_H-M 'P 1'
_symmetry_Int_Tables_number 1
_cell_length_a 3.5813
_cell_length_b 7.5508
_cell_length_c 8.8101
_cell_angle_alpha 90.00
_cell_angle_beta 90.00
_cell_angle_gamma 90.00
loop_
_symmetry_equiv_pos_as_xyz
'x,y,z'
loop_
_atom_site_label
_atom_site_type_symbol
_atom_site_fract_x
_atom_site_fract_y
_atom_site_fract_z
Al1 Al 0.0000 0.0000 0.0000
Al2 Al 0.5000 0.5000 0.0000
Se1 Se 0.0000 0.0000 0.5898
Se2 Se 0.0000 0.5000 0.7899
Se3 Se 0.5000 0.0000 0.7899
Se4 Se 0.5000 0.5000 0.5898
Cl1 Cl 0.0000 0.5000 0.1855
Cl2 Cl 0.5000 0.0000 0.1855

=====

(2)
# AlSeCl (GGA-PBE, optimized geometry)
# N(E_F) ... 0.0 states/eV per cell
# Energy relative to the elements, uncorrected ... -1159 meV per atom
# Crystal system ... orthorhombic
# Total magnetization ... 0.00 μB/f.u.
data_AlSeCl
_symmetry_space_group_name_H-M 'P 1'
_symmetry_Int_Tables_number 1
_cell_length_a 6.7362
_cell_length_b 8.5454
_cell_length_c 6.3530
_cell_angle_alpha 90.00
_cell_angle_beta 90.00
_cell_angle_gamma 90.00
loop_
_symmetry_equiv_pos_as_xyz
'x,y,z'
loop_
_atom_site_label
_atom_site_type_symbol
_atom_site_fract_x
_atom_site_fract_y
_atom_site_fract_z
Al1 Al 0.0813 0.1186 0.0000
Al2 Al 0.4187 0.1186 0.5000
Al3 Al 0.5813 0.8814 0.0000
Al4 Al 0.9187 0.8814 0.5000
Se1 Se 0.0713 0.1264 0.6126
Se2 Se 0.4287 0.1264 0.1126
Se3 Se 0.5713 0.8736 0.6126
Se4 Se 0.9287 0.8736 0.1126
Cl1 Cl 0.0520 0.6726 0.6059
Cl2 Cl 0.4480 0.6726 0.1059
Cl3 Cl 0.5520 0.3274 0.6059
Cl4 Cl 0.9480 0.3274 0.1059

=====

(3)
# AlSe2Cl (GGA-PBE, optimized geometry)
# N(E_F) ... 1.4 states/eV per cell
# Energy relative to the elements, uncorrected ... 21 meV per atom
# E above lowest polymorph ... 735 meV/atom
# Crystal system ... orthorhombic
# Total magnetization ... 0.00 μB/f.u.
data_AlSe2Cl
_symmetry_space_group_name_H-M 'P 1'
_symmetry_Int_Tables_number 1
_cell_length_a 5.1879
_cell_length_b 13.5564
_cell_length_c 2.7256
_cell_angle_alpha 90.00
_cell_angle_beta 90.00
_cell_angle_gamma 90.00
loop_
_symmetry_equiv_pos_as_xyz
'x,y,z'
loop_
_atom_site_label
_atom_site_type_symbol
_atom_site_fract_x
_atom_site_fract_y
_atom_site_fract_z
Al1 Al 0.0000 0.0000 0.0000
Al2 Al 0.5000 0.5000 0.0000
Se1 Se 0.2500 0.2500 0.5000
Se2 Se 0.2500 0.7500 0.5000
Se3 Se 0.7500 0.2500 0.5000
Se4 Se 0.7500 0.7500 0.5000
Cl1 Cl 0.0000 0.5000 0.0000
Cl2 Cl 0.5000 0.0000 0.0000

=====

(4)
# AlSe2Cl (GGA-PBE, optimized geometry)
# N(E_F) ... 4.3 states/eV per cell
# Energy relative to the elements, uncorrected ... -388 meV per atom
# E above lowest polymorph ... 326 meV/atom
# Crystal system ... trigonal
# Total magnetization ... 0.31 μB/f.u.
data_AlSe2Cl
_symmetry_space_group_name_H-M 'P 1'
_symmetry_Int_Tables_number 1
_cell_length_a 3.4036
_cell_length_b 3.4036
_cell_length_c 32.6633
_cell_angle_alpha 90.00
_cell_angle_beta 90.00
_cell_angle_gamma 120.00
loop_
_symmetry_equiv_pos_as_xyz
'x,y,z'
loop_
_atom_site_label
_atom_site_type_symbol
_atom_site_fract_x
_atom_site_fract_y
_atom_site_fract_z
Al1 Al 0.0000 0.0000 0.0000
Al2 Al 0.3333 0.6667 0.6667
Al3 Al 0.6667 0.3333 0.3333
Se1 Se 0.0000 0.0000 0.2910
Se2 Se 0.0000 0.0000 0.5003
Se3 Se 0.3333 0.6667 0.1669
Se4 Se 0.3333 0.6667 0.9577
Se5 Se 0.6667 0.3333 0.6244
Se6 Se 0.6667 0.3333 0.8336
Cl1 Cl 0.0000 0.0000 0.7150
Cl2 Cl 0.3333 0.6667 0.3816
Cl3 Cl 0.6667 0.3333 0.0483

=====

(5)
# AlSe2Cl (GGA-PBE, optimized geometry)
# N(E_F) ... 6.2 states/eV per cell
# Energy relative to the elements, uncorrected ... -195 meV per atom
# E above lowest polymorph ... 519 meV/atom
# Crystal system ... orthorhombic
# Total magnetization ... 0.00 μB/f.u.
data_AlSe2Cl
_symmetry_space_group_name_H-M 'P 1'
_symmetry_Int_Tables_number 1
_cell_length_a 3.5252
_cell_length_b 5.0404
_cell_length_c 10.0805
_cell_angle_alpha 90.00
_cell_angle_beta 90.00
_cell_angle_gamma 90.00
loop_
_symmetry_equiv_pos_as_xyz
'x,y,z'
loop_
_atom_site_label
_atom_site_type_symbol
_atom_site_fract_x
_atom_site_fract_y
_atom_site_fract_z
Al1 Al 0.0000 0.0000 0.0000
Al2 Al 0.5000 0.5000 0.5000
Se1 Se 0.0000 0.5000 0.3231
Se2 Se 0.0000 0.5000 0.6769
Se3 Se 0.5000 0.0000 0.1769
Se4 Se 0.5000 0.0000 0.8231
Cl1 Cl 0.0000 0.0000 0.5000
Cl2 Cl 0.5000 0.5000 0.0000

=====

(6)
# AlSe2Cl (GGA-PBE, optimized geometry)
# N(E_F) ... 0.0 states/eV per cell
# Energy relative to the elements, uncorrected ... -697 meV per atom
# E above lowest polymorph ... 17 meV/atom
# Crystal system ... monoclinic
# Total magnetization ... 0.00 μB/f.u.
data_AlSe2Cl
_symmetry_space_group_name_H-M 'P 1'
_symmetry_Int_Tables_number 1
_cell_length_a 5.0028
_cell_length_b 3.7476
_cell_length_c 5.1096
_cell_angle_alpha 90.00
_cell_angle_beta 104.28
_cell_angle_gamma 90.00
loop_
_symmetry_equiv_pos_as_xyz
'x,y,z'
loop_
_atom_site_label
_atom_site_type_symbol
_atom_site_fract_x
_atom_site_fract_y
_atom_site_fract_z
Al1 Al 0.0000 0.0000 0.0000
Se1 Se 0.1482 0.5000 0.3487
Se2 Se 0.8518 0.5000 0.6513
Cl1 Cl 0.5000 0.0000 0.0000

=====

(7)
# Al2Se2Cl (GGA-PBE, optimized geometry)
# N(E_F) ... 4.5 states/eV per cell
# Energy relative to the elements, uncorrected ... -694 meV per atom
# Crystal system ... tetragonal
# Total magnetization ... 0.45 μB/f.u.
data_Al2Se2Cl
_symmetry_space_group_name_H-M 'P 1'
_symmetry_Int_Tables_number 1
_cell_length_a 7.5911
_cell_length_b 7.5911
_cell_length_c 7.5911
_cell_angle_alpha 119.21
_cell_angle_beta 119.21
_cell_angle_gamma 91.37
loop_
_symmetry_equiv_pos_as_xyz
'x,y,z'
loop_
_atom_site_label
_atom_site_type_symbol
_atom_site_fract_x
_atom_site_fract_y
_atom_site_fract_z
Al1 Al 0.2906 0.0000 0.2906
Al2 Al 0.7094 0.0000 0.7094
Al3 Al 0.7500 0.5406 0.7906
Al4 Al 0.7500 0.9594 0.2094
Se1 Se 0.0147 0.7701 0.2446
Se2 Se 0.5201 0.2647 0.7446
Se3 Se 0.5201 0.7755 0.2554
Se4 Se 0.5255 0.7701 0.7554
Cl1 Cl 0.0829 0.0829 0.0000
Cl2 Cl 0.8329 0.3329 0.5000

=====

(8)
# AlSe2Cl (GGA-PBE, optimized geometry)
# N(E_F) ... 1.0 states/eV per cell
# Energy relative to the elements, uncorrected ... -316 meV per atom
# E above lowest polymorph ... 399 meV/atom
# Crystal system ... monoclinic
# Total magnetization ... 0.00 μB/f.u.
data_AlSe2Cl
_symmetry_space_group_name_H-M 'P 1'
_symmetry_Int_Tables_number 1
_cell_length_a 10.4072
_cell_length_b 3.5648
_cell_length_c 5.4889
_cell_angle_alpha 90.00
_cell_angle_beta 98.41
_cell_angle_gamma 90.00
loop_
_symmetry_equiv_pos_as_xyz
'x,y,z'
loop_
_atom_site_label
_atom_site_type_symbol
_atom_site_fract_x
_atom_site_fract_y
_atom_site_fract_z
Al1 Al 0.0000 0.0000 0.0000
Al2 Al 0.5000 0.5000 0.0000
Se1 Se 0.1564 0.5000 0.1670
Se2 Se 0.3436 0.0000 0.8330
Se3 Se 0.6564 0.0000 0.1670
Se4 Se 0.8436 0.5000 0.8330
Cl1 Cl 0.0000 0.5000 0.5000
Cl2 Cl 0.5000 0.0000 0.5000